PBE-GGA CaSmTmCd, relaxed; total energy = -3.029 eV per atom; density = 6.59 g cm⁻³; M_tot = 0.00 Bohr magnetons per cell; formation energy from the elements = -3 meV/atom
1.0
5.520 0.000 0.000
2.760 4.781 0.000
2.760 1.594 4.507
Cd Tm Ca Sm
1 1 1 1
Direct
0.750 0.750 0.750 Cd
0.500 0.500 0.500 Tm
0.250 0.250 0.250 Ca
0.000 0.000 0.000 Sm

PBE-GGA CaSmYCd, relaxed; total energy = -3.556 eV per atom; density = 5.37 g cm⁻³; relative energy among the computed polymorphs = 0.109 eV per atom; M_tot = 0.00 Bohr magnetons per cell; formation energy from the elements = -32 meV/atom
1.0
-1.853 -3.237 -4.116
3.358 -1.317 -4.224
1.902 -5.193 -0.521
Cd Ca Sm Y
1 1 1 1
Direct
0.500 0.500 0.500 Cd
0.000 0.000 0.000 Ca
0.250 0.250 0.250 Sm
0.750 0.750 0.750 Y

PBE-GGA CaSmYCd, relaxed; total energy = -3.665 eV per atom; density = 5.18 g cm⁻³; relative energy among the computed polymorphs = 0.000 eV per atom; M_tot = 0.00 Bohr magnetons per cell; formation energy from the elements = -140 meV/atom
1.0
-1.663 -1.506 2.861
-0.974 -2.834 -2.058
8.059 -4.465 2.335
Y Sm Ca Cd
1 1 1 1
Direct
0.500 0.500 0.351 Y
0.000 0.000 0.090 Sm
0.500 0.500 0.783 Ca
0.000 0.000 0.560 Cd

PBE-GGA Ca5Cd2Sn, relaxed; total energy = -2.370 eV per atom; density = 3.51 g cm⁻³; M_tot = 0.00 Bohr magnetons per cell; formation energy from the elements = -390 meV/atom
1.0
7.383 0.000 -3.485
-1.645 7.197 -3.485
0.036 0.045 9.639
Ca Sn Cd
10 2 4
Direct
0.179 0.023 0.701 Ca
0.500 0.500 0.000 Ca
0.523 0.679 0.701 Ca
0.321 0.821 0.299 Ca
0.000 0.000 0.000 Ca
0.023 0.523 0.701 Ca
0.821 0.977 0.299 Ca
0.977 0.477 0.299 Ca
0.477 0.321 0.299 Ca
0.679 0.179 0.701 Ca
0.750 0.750 0.500 Sn
0.250 0.250 0.500 Sn
0.376 0.876 0.000 Cd
0.624 0.124 0.000 Cd
0.124 0.376 0.000 Cd
0.876 0.624 0.000 Cd

PBE-GGA Ca2Cd2Sn, relaxed; total energy = -2.144 eV per atom; density = 4.72 g cm⁻³; M_tot = 0.00 Bohr magnetons per cell; formation energy from the elements = -177 meV/atom
1.0
-2.990 5.665 5.850
-8.131 -1.740 -2.471
-0.201 -2.896 2.701
Cd Ca Sn
4 4 2
Direct
0.865 0.365 0.500 Cd
0.365 0.135 0.500 Cd
0.635 0.865 0.500 Cd
0.135 0.635 0.500 Cd
0.339 0.839 0.000 Ca
0.161 0.339 0.000 Ca
0.839 0.661 0.000 Ca
0.661 0.161 0.000 Ca
0.000 0.000 0.000 Sn
0.500 0.500 0.000 Sn

PBE-GGA CaCd2Sn, relaxed; total energy = -2.276 eV per atom; density = 6.31 g cm⁻³; M_tot = 0.00 Bohr magnetons per cell; formation energy from the elements = -318 meV/atom
1.0
-3.471 0.162 3.234
2.749 -2.096 3.054
1.532 4.106 1.439
Sn Cd Ca
1 2 1
Direct
0.500 0.000 0.000 Sn
0.000 0.500 0.000 Cd
0.000 0.000 0.500 Cd
0.500 0.500 0.500 Ca

- What is the M_tot in the sixth record?
  0.00 Bohr magnetons per cell

- Among the records above, which one has the lowest formation energy from the elements?
  Ca5Cd2Sn

- Which formula does entry 2 have?
  CaSmYCd